This record from the Alexandria database describes Nd2SmHf after structural relaxation. The functional is PBE.

Total magnetic moment, μB per formula unit: 0.00
DOS at the Fermi energy, states/eV/atom: 1.04
Theoretical density, g/cm³: 8.4
Calculated formation energy, eV per atom: 0.18
E, eV per cell: -23.47

Unit cell a=4.974 b=4.974 c=4.943 alpha=90.00 beta=90.00 gamma=90.00
Space group P4/mmm (No. 123)
Symmetry-distinct sites (fractional):
Nd (0.000, 0.500, 0.000)
Sm (0.000, 0.000, 0.500)
Hf (0.500, 0.500, 0.500)